(1)
Density functional theory data (PBE) for Li2MnAg after structural relaxation.

Properties
Formation enthalpy at 0 K ... 160 meV/atom
Density of states at the Fermi level ... 0.563 states/eV per atom
Total magnetic moment ... 3.80 Bohr magnetons per cell

a = 2.8152 Å, b = 2.8152 Å, c = 8.1597 Å
α = 90.00°, β = 90.00°, γ = 90.00°
Last column: nearest neighbours and their distance in Å.
Space group P4/mmm (No. 123)
Unique sites:
1 Li 0.0000 0.0000 0.2422  4 Ag 2.81, 4 Li 2.82, 4 Mn 2.90
2 Mn 0.5000 0.5000 0.5000  4 Mn 2.82, 8 Li 2.90
3 Ag 0.5000 0.5000 0.0000  8 Li 2.81, 4 Ag 2.82

***

(2)
Density functional theory data (PBE) for LiMnAg2 after structural relaxation.

Properties
Formation enthalpy at 0 K ... 145 meV/atom
Density of states at the Fermi level ... 0.736 states/eV per atom
Total magnetic moment ... 17.49 Bohr magnetons per cell

a = 6.4470 Å, b = 6.4470 Å, c = 6.4470 Å
α = 90.00°, β = 90.00°, γ = 90.00°
Last column: nearest neighbours and their distance in Å.
Space group F-43m (No. 216)
Unique sites:
1 Li 0.0000 0.0000 0.0000  4 Mn 2.79, 4 Ag 2.79
2 Mn 0.2500 0.2500 0.2500  4 Li 2.79, 4 Ag 2.79
3 Ag 0.0000 0.0000 0.5000  4 Mn 2.79, 4 Ag 2.79
4 Ag 0.2500 0.2500 0.7500  4 Li 2.79, 4 Ag 2.79

***

(3)
Density functional theory data (PBE) for LiMnAg after structural relaxation.

Properties
Polymorph energy (0 for the lowest one) ... 52.9 meV per atom
Formation enthalpy at 0 K ... 235 meV/atom
Density of states at the Fermi level ... 0.552 states/eV per atom
Total magnetic moment ... 15.29 Bohr magnetons per cell

a = 3.0070 Å, b = 4.6880 Å, c = 13.8438 Å
α = 90.00°, β = 90.00°, γ = 90.00°
Last column: nearest neighbours and their distance in Å.
Space group Fmm2 (No. 42)
Unique sites:
1 Li 0.0000 0.0000 0.0000  2 Mn 2.73, 2 Ag 2.74, 6 Li 2.78-3.01
2 Mn 0.0000 0.0000 0.3356  2 Li 2.73, 6 Mn 2.78-3.01, 2 Ag 2.80
3 Ag 0.0000 0.0000 0.6651  2 Li 2.74, 6 Ag 2.78-3.01, 2 Mn 2.80

***

(4)
Density functional theory data (PBE) for LiMn2Ag after structural relaxation.

Properties
Formation enthalpy at 0 K ... 648 meV/atom
Density of states at the Fermi level ... 0.945 states/eV per atom
Total magnetic moment ... 2.91 Bohr magnetons per cell

a = 3.3463 Å, b = 3.3463 Å, c = 19.2563 Å
α = 90.00°, β = 90.00°, γ = 90.00°
Last column: nearest neighbours and their distance in Å.
Space group I-42d (No. 122)
Unique sites:
1 Li 0.0000 0.0000 0.0000  4 Ag 2.37, 4 Mn 2.63
2 Mn 0.1951 0.2500 0.1250  2 Mn 2.12
3 Ag 0.0000 0.0000 0.5000  4 Li 2.37

***

(5)
Density functional theory data (PBE) for Li2MnAg after structural relaxation.

Properties
Formation enthalpy at 0 K ... 131 meV/atom
Density of states at the Fermi level ... 0.453 states/eV per atom
Total magnetic moment ... 7.91 Bohr magnetons per cell

a = 3.9232 Å, b = 3.9232 Å, c = 8.2867 Å
α = 90.00°, β = 90.00°, γ = 90.00°
Last column: nearest neighbours and their distance in Å.
Space group I4/mmm (No. 139)
Unique sites:
1 Li 0.0000 0.5000 0.2500  4 Li 2.77, 4 Mn 2.85, 4 Ag 2.85
2 Mn 0.0000 0.0000 0.0000  4 Ag 2.77, 8 Li 2.85
3 Ag 0.0000 0.0000 0.5000  4 Mn 2.77, 8 Li 2.85

***

(6)
Density functional theory data (PBE) for LiMnAg2 after structural relaxation.

Properties
Formation enthalpy at 0 K ... 151 meV/atom
Density of states at the Fermi level ... 0.455 states/eV per atom
Total magnetic moment ... 4.17 Bohr magnetons per cell

a = 3.3297 Å, b = 3.3297 Å, c = 6.0020 Å
α = 90.00°, β = 90.00°, γ = 90.00°
Last column: nearest neighbours and their distance in Å.
Space group P4mm (No. 99)
Unique sites:
1 Li 0.0000 0.0000 0.0000  6 Ag 2.68-3.01, 4 Mn 2.84
2 Mn 0.5000 0.5000 0.2649  5 Ag 2.75-2.88, 4 Li 2.84
3 Ag 0.0000 0.0000 0.5008  4 Mn 2.75, 4 Ag 2.91, 2 Li 3.00-3.01
4 Ag 0.5000 0.5000 0.7851  4 Li 2.68, 1 Mn 2.88, 4 Ag 2.91